This record from Alexandria describes an optimized crystal structure of La3AuO. The functional is PBE.

Structure (POSCAR):
```
La3AuO
1.0
-8.8622 20.5740 9.7899
-5.6443 4.5003 2.4769
3.8480 -6.5850 0.2780
Au O La
2 2 6
direct
0.7552 0.0807 0.9193 Au
0.2448 0.9193 0.0807 Au
0.6668 0.9679 0.0321 O
0.3332 0.0321 0.9679 O
0.5288 0.6044 0.3956 La
0.4712 0.3956 0.6044 La
0.8749 0.5346 0.4654 La
0.1251 0.4654 0.5346 La
0.8050 0.3429 0.6571 La
0.1950 0.6571 0.3429 La
```

The calculation puts the energy above the most stable polymorph in this dataset at 0.110 eV/atom. Its total energy is -0.2188 Ha/atom. As for the uncorrected formation energy: -1.35 eV per atom.



This record from Alexandria describes an optimized crystal structure of Pr5Dy2In5. The functional is PBE.

Structure (POSCAR):
```
Pr5Dy2In5
1.0
5.3130 0.0000 0.0000
-2.6565 5.8795 -0.3510
0.0000 -3.4282 11.8110
Pr Dy In
5 2 5
direct
0.5000 0.0000 0.5000 Pr
0.6565 0.3131 0.9992 Pr
0.6373 0.2746 0.2732 Pr
0.3627 0.7254 0.7268 Pr
0.3435 0.6869 0.0008 Pr
0.0689 0.1379 0.7579 Dy
0.9311 0.8621 0.2421 Dy
0.1731 0.3463 0.4596 In
0.7245 0.4491 0.7665 In
0.2755 0.5509 0.2335 In
0.8269 0.6537 0.5404 In
0.0000 0.0000 0.0000 In
```

The value obtained for the energy relative to the elements is -0.31 eV per atom. Its total energy is -0.1549 Ha/atom.



This record from Alexandria describes an optimized crystal structure of BeZnTe2. The functional is PBE.

Structure (POSCAR):
```
BeZnTe2
1.0
3.5842 -2.0694 0.0000
0.0000 4.1387 0.0000
0.0000 0.0000 7.2424
Be Zn Te
1 1 2
direct
0.0000 0.0000 0.8942 Be
0.3333 0.6667 0.4384 Zn
0.3333 0.6667 0.8238 Te
0.6667 0.3333 0.2987 Te
```

The calculation puts the energy above the most stable polymorph in this dataset at 0.225 eV/atom. Its total energy is -0.1103 Ha/atom. As for the uncorrected formation energy: -0.18 eV per atom.



This record from Alexandria describes an optimized crystal structure of NdDyScIn. The functional is PBE.

Structure (POSCAR):
```
NdDyScIn
1.0
-0.2881 -4.5073 -2.9755
2.9369 -4.3324 1.3628
-2.4350 -4.4015 1.9875
Sc In Nd Dy
1 1 1 1
direct
0.0000 0.0000 0.0000 Sc
0.5000 0.5000 0.5000 In
0.2500 0.2500 0.2500 Nd
0.7500 0.7500 0.7500 Dy
```

The calculation puts the energy above the most stable polymorph in this dataset at 0.000 eV/atom. The value obtained for the energy relative to the elements is -0.16 eV per atom. Its total energy is -0.1754 Ha/atom.



This record from Alexandria describes an optimized crystal structure of Sm2ThCdN. The functional is PBE.

Structure (POSCAR):
```
Sm2ThCdN
1.0
4.9214 0.0000 0.0000
0.0000 5.0061 0.0000
0.0000 0.0000 5.0061
Sm Th Cd N
2 1 1 1
direct
0.0000 0.0000 0.5000 Sm
0.0000 0.5000 0.0000 Sm
0.5000 0.0000 0.0000 Th
0.5000 0.5000 0.5000 Cd
0.0000 0.0000 0.0000 N
```

Its total energy is -0.2188 Ha/atom. As for the uncorrected formation energy: -0.73 eV per atom.



This record from Alexandria describes an optimized crystal structure of BaSnTe2N. The functional is PBE.

Structure (POSCAR):
```
BaSnTe2N
1.0
6.5329 0.0000 0.0000
0.0000 6.5329 0.0000
0.0000 0.0000 4.3977
N Te Ba Sn
1 2 1 1
direct
0.0000 0.0000 0.5000 N
0.0000 0.5000 0.0000 Te
0.5000 0.0000 0.0000 Te
0.0000 0.0000 0.0000 Ba
0.5000 0.5000 0.5000 Sn
```

The calculation puts the energy above the most stable polymorph in this dataset at 0.920 eV/atom. Its total energy is -0.1217 Ha/atom. As for the uncorrected formation energy: 0.80 eV per atom.



This record from Alexandria describes an optimized crystal structure of TcSn3Cl. The functional is PBE.

Structure (POSCAR):
```
TcSn3Cl
1.0
5.2489 0.0000 0.0000
0.0000 5.2489 0.0000
0.0000 0.0000 5.2489
Cl Sn Tc
1 3 1
direct
0.0000 0.0000 0.0000 Cl
0.0000 0.5000 0.0000 Sn
0.0000 0.0000 0.5000 Sn
0.5000 0.0000 0.0000 Sn
0.5000 0.5000 0.5000 Tc
```

The calculation puts the energy above the most stable polymorph in this dataset at 1.338 eV/atom. Its total energy is -0.1387 Ha/atom. As for the uncorrected formation energy: 1.07 eV per atom.



This record from Alexandria describes an optimized crystal structure of OsPt4Rh6. The functional is PBE.

Structure (POSCAR):
```
OsPt4Rh6
1.0
-2.2419 -2.6591 -3.0300
0.6537 -1.1922 4.0738
-17.4477 8.6393 5.3278
Os Pt Rh
2 8 12
direct
0.7501 0.5002 0.2500 Os
0.2499 0.4998 0.7500 Os
0.8641 0.7282 0.5448 Pt
0.4282 0.8564 0.1252 Pt
0.1359 0.2718 0.4552 Pt
0.5718 0.1436 0.8748 Pt
0.8641 0.7282 0.9552 Pt
0.1359 0.2718 0.0448 Pt
0.5718 0.1436 0.6252 Pt
0.4282 0.8564 0.3748 Pt
0.5000 0.0000 0.0000 Rh
0.5000 0.0000 0.5000 Rh
0.0780 0.1561 0.3152 Rh
0.9220 0.8439 0.6848 Rh
0.9220 0.8439 0.8152 Rh
0.0780 0.1561 0.1848 Rh
0.7787 0.5574 0.3967 Rh
0.2213 0.4426 0.6033 Rh
0.2213 0.4426 0.8967 Rh
0.7787 0.5574 0.1033 Rh
0.4020 0.8040 0.2500 Rh
0.5980 0.1960 0.7500 Rh
```

The value obtained for the energy relative to the elements is 0.28 eV per atom. Its total energy is -0.2554 Ha/atom.